Compound: Na2Hg4Pb5
Source: Alexandria
Functional: PBE
Structure: optimized geometry

Results
* ΔE_f: -41 meV/atom
* raw total energy: -2.08 eV/atom
* theoretical density: 9400 kg/m³
* magnetization: 0.00 μB per formula unit

abc: 6.5179 7.9007 7.9103
angles: 71.60 65.67 65.64
Element x y z (fractional)
Na: 0.3158 0.6834 0.6849
Na: 0.6842 0.3166 0.3151
Hg: 0.2500 0.0786 0.4214
Hg: 0.7500 0.9214 0.5786
Hg: 0.7499 0.5800 0.9202
Hg: 0.2501 0.4200 0.0798
Pb: 0.2465 0.1782 0.8216
Pb: 0.7535 0.8218 0.1784
Pb: 0.0000 0.5000 0.5000
Pb: 0.7537 0.1782 0.8216
Pb: 0.2463 0.8218 0.1784

=====

Compound: KSe2N2
Source: Alexandria
Functional: PBE
Structure: optimized geometry

Results
* raw total energy: -4.33 eV/atom
* theoretical density: 3623 kg/m³
* excess energy over the best structure of this formula in the dataset: 224 meV per atom
* ΔE_f (raw): 0.6092 eV/atom
* magnetization: 0.00 μB per formula unit

abc: 8.3165 8.3165 2.9828
angles: 90.00 90.00 90.00
Element x y z (fractional)
K: 0.0000 0.0000 0.0000
K: 0.5000 0.5000 0.0000
Se: 0.3575 0.8575 0.0000
Se: 0.8575 0.6425 0.0000
Se: 0.6425 0.1425 0.0000
Se: 0.1425 0.3575 0.0000
N: 0.2565 0.7565 0.5000
N: 0.7565 0.7435 0.5000
N: 0.7435 0.2435 0.5000
N: 0.2435 0.2565 0.5000

=====

Compound: Te4S2Cl3
Source: Alexandria
Functional: PBE
Structure: optimized geometry

Results
* raw total energy: -3.03 eV/atom
* theoretical density: 3512 kg/m³
* ΔE_f (raw): -0.0995 eV/atom
* magnetization: 0.00 μB per formula unit

abc: 7.2971 9.6355 9.6355
angles: 107.85 88.14 88.14
Element x y z (fractional)
Te: 0.3753 0.8397 0.3324
Te: 0.1247 0.6676 0.1603
Te: 0.6247 0.1603 0.6676
Te: 0.8753 0.3324 0.8397
Te: 0.0334 0.2219 0.4167
Te: 0.4666 0.5833 0.7781
Te: 0.9666 0.7781 0.5833
Te: 0.5334 0.4167 0.2219
S: 0.3314 0.0937 0.3442
S: 0.1686 0.6558 0.9063
S: 0.6686 0.9063 0.6558
S: 0.8314 0.3442 0.0937
Cl: 0.8487 0.0276 0.2764
Cl: 0.6513 0.7236 0.9724
Cl: 0.1513 0.9724 0.7236
Cl: 0.3487 0.2764 0.0276
Cl: 0.2500 0.4631 0.5369
Cl: 0.7500 0.5369 0.4631

=====

Compound: Pa2GePIr6
Source: Alexandria
Functional: PBE
Structure: optimized geometry

Results
* ΔE_f: -551 meV/atom
* raw total energy: -8.77 eV/atom
* theoretical density: 15397 kg/m³
* magnetization: 0.00 μB per formula unit

abc: 5.4902 8.0447 8.3951
angles: 90.00 90.00 90.00
Element x y z (fractional)
Pa: 0.5000 0.7354 0.2485
Pa: 0.0000 0.2646 0.7485
Pa: 0.5000 0.7354 0.7515
Pa: 0.0000 0.2646 0.2515
Ge: 0.0000 0.7197 0.5000
Ge: 0.5000 0.2803 0.0000
P: 0.5000 0.2398 0.5000
P: 0.0000 0.7602 0.0000
Ir: 0.5000 0.1095 0.2528
Ir: 0.5000 0.1095 0.7472
Ir: 0.0000 0.8905 0.2472
Ir: 0.0000 0.8905 0.7528
Ir: 0.2534 0.9840 0.5000
Ir: 0.7466 0.9840 0.5000
Ir: 0.2492 0.4679 0.5000
Ir: 0.7508 0.4679 0.5000
Ir: 0.7492 0.5321 0.0000
Ir: 0.2508 0.5321 0.0000
Ir: 0.2466 0.0160 0.0000
Ir: 0.7534 0.0160 0.0000

=====

Compound: NaGeP3
Source: Alexandria
Functional: PBE
Structure: optimized geometry

Results
* ΔE_f: 1463 meV/atom
* raw total energy: -2.97 eV/atom
* theoretical density: 2785 kg/m³
* excess energy over the best structure of this formula in the dataset: 796 meV per atom
* magnetization: 0.00 μB per formula unit

abc: 4.8262 4.8262 4.8262
angles: 90.00 90.00 90.00
Element x y z (fractional)
P: 0.0000 0.5000 0.0000
P: 0.0000 0.0000 0.5000
P: 0.5000 0.0000 0.0000
Ge: 0.5000 0.5000 0.5000
Na: 0.0000 0.0000 0.0000

=====

Compound: LiLa3S4
Source: Alexandria
Functional: PBE
Structure: optimized geometry

Results
* raw total energy: -6.17 eV/atom
* theoretical density: 4655 kg/m³
* ΔE_f (raw): -2.0178 eV/atom
* magnetization: 0.00 μB per formula unit

abc: 5.8173 5.8173 5.8173
angles: 90.00 90.00 90.00
Element x y z (fractional)
S: 0.5000 0.0000 0.0000
S: 0.0000 0.5000 0.0000
S: 0.0000 0.0000 0.5000
S: 0.5000 0.5000 0.5000
La: 0.0000 0.5000 0.5000
La: 0.5000 0.0000 0.5000
La: 0.5000 0.5000 0.0000
Li: 0.0000 0.0000 0.0000

=====

Compound: KVMoSe2
Source: Alexandria
Functional: PBE
Structure: optimized geometry

Results
* raw total energy: -3.78 eV/atom
* theoretical density: 3904 kg/m³
* excess energy over the best structure of this formula in the dataset: 959 meV per atom
* ΔE_f (raw): 1.8199 eV/atom
* magnetization: 8.00 μB per formula unit

abc: 5.5854 4.6881 5.5854
angles: 90.00 90.00 90.00
Element x y z (fractional)
Mo: 0.5000 0.5000 0.5000
K: 0.0000 0.0000 0.0000
Se: 0.0000 0.0000 0.5000
Se: 0.5000 0.0000 0.0000
V: 0.0000 0.5000 0.0000

=====

Compound: Ce2Sc2Ge2C
Source: Alexandria
Functional: PBE
Structure: optimized geometry

Results
* ΔE_f: -753 meV/atom
* raw total energy: -6.89 eV/atom
* theoretical density: 5712 kg/m³
* magnetization: 1.91 μB per formula unit

abc: 4.4425 4.4425 8.3798
angles: 105.37 105.37 90.00
Element x y z (fractional)
Ce: 0.1660 0.1660 0.3320
Ce: 0.8340 0.8340 0.6680
Sc: 0.0000 0.5000 0.0000
Sc: 0.5000 0.0000 0.0000
Ge: 0.3716 0.3716 0.7432
Ge: 0.6284 0.6284 0.2568
C: 0.0000 0.0000 0.0000